No. 1
## TbGaAg2 (GGA-PBE)

Data for TbGaAg2 after structural relaxation.

Cell: 4.386 4.386 4.370 Å, 90.00 90.00 90.00°
Element x y z (fractional)
Tb1 0.000 0.000 0.000
Ga1 0.500 0.500 0.000
Ag1 0.000 0.500 0.500
Ag2 0.500 0.000 0.500

Summary:
* DFT total energy: -3.558 eV/atom
* formation energy from the elements: -0.22 eV per atom


No. 2
## Tb2Ga4Ag3 (GGA-PBE)

Data for Tb2Ga4Ag3 after structural relaxation.

Cell: 8.428 8.428 7.749 Å, 90.00 90.00 139.37°
Element x y z (fractional)
Tb1 0.104 0.896 0.906
Tb2 0.396 0.604 0.406
Tb3 0.604 0.396 0.594
Tb4 0.896 0.104 0.094
Ga1 0.172 0.828 0.522
Ga2 0.187 0.313 0.750
Ga3 0.313 0.187 0.250
Ga4 0.328 0.672 0.022
Ga5 0.672 0.328 0.978
Ga6 0.687 0.813 0.750
Ga7 0.813 0.687 0.250
Ga8 0.828 0.172 0.478
Ag1 0.000 0.000 0.500
Ag2 0.018 0.482 0.750
Ag3 0.482 0.018 0.250
Ag4 0.500 0.500 0.000
Ag5 0.518 0.982 0.750
Ag6 0.982 0.518 0.250

Summary:
* DFT total energy: -3.690 eV/atom
* formation energy from the elements: -0.37 eV per atom


No. 3
## Tb3GaAg2 (GGA-PBE)

Data for Tb3GaAg2 after structural relaxation.

Cell: 5.128 5.128 6.326 Å, 90.00 90.00 120.00°
Element x y z (fractional)
Tb1 0.000 0.000 0.000
Tb2 0.333 0.667 0.665
Tb3 0.667 0.333 0.335
Ga1 0.000 0.000 0.500
Ag1 0.333 0.667 0.175
Ag2 0.667 0.333 0.825

Summary:
* DFT total energy: -4.178 eV/atom
* formation energy from the elements: -0.41 eV per atom


No. 4
## TbGa2Ag4 (GGA-PBE)

Data for TbGa2Ag4 after structural relaxation.

Cell: 7.807 7.807 4.199 Å, 90.00 90.00 147.81°
Element x y z (fractional)
Tb1 0.000 0.000 0.000
Ga1 0.419 0.581 0.500
Ga2 0.581 0.419 0.500
Ag1 0.181 0.819 0.500
Ag2 0.317 0.683 0.000
Ag3 0.683 0.317 0.000
Ag4 0.819 0.181 0.500

Summary:
* DFT total energy: -3.397 eV/atom
* formation energy from the elements: -0.24 eV per atom


No. 5
## Tb4GaAg2 (GGA-PBE)

Data for Tb4GaAg2 after structural relaxation.

Cell: 7.823 7.823 7.823 Å, 108.96 108.96 110.50°
Element x y z (fractional)
Tb1 0.131 0.516 0.749
Tb2 0.132 0.018 0.751
Tb3 0.266 0.381 0.249
Tb4 0.484 0.232 0.614
Tb5 0.618 0.869 0.386
Tb6 0.619 0.868 0.886
Tb7 0.768 0.382 0.251
Tb8 0.982 0.734 0.114
Ga1 0.250 0.750 0.500
Ga2 0.500 0.500 0.000
Ag1 0.375 0.003 0.128
Ag2 0.753 0.625 0.628
Ag3 0.875 0.247 0.872
Ag4 0.997 0.125 0.372

Summary:
* DFT total energy: -4.130 eV/atom
* formation energy from the elements: -0.24 eV per atom


No. 6
## Tb2Ga3Ag2 (GGA-PBE)

Data for Tb2Ga3Ag2 after structural relaxation.

Cell: 5.787 5.787 6.684 Å, 112.17 112.17 45.03°
Element x y z (fractional)
Tb1 0.150 0.150 0.272
Tb2 0.850 0.850 0.728
Ga1 0.406 0.406 0.070
Ga2 0.500 0.500 0.500
Ga3 0.594 0.594 0.930
Ag1 0.149 0.149 0.747
Ag2 0.851 0.851 0.253

Summary:
* DFT total energy: -3.866 eV/atom
* formation energy from the elements: -0.43 eV per atom


No. 7
## TbGa4Ag (GGA-PBE)

Data for TbGa4Ag after structural relaxation.

Cell: 5.709 5.709 5.709 Å, 136.03 107.88 88.47°
Element x y z (fractional)
Tb1 0.000 0.000 0.000
Ga1 0.131 0.338 0.793
Ga2 0.455 0.662 0.793
Ga3 0.545 0.338 0.207
Ga4 0.869 0.662 0.207
Ag1 0.500 0.000 0.500

Summary:
* DFT total energy: -3.575 eV/atom
* formation energy from the elements: -0.31 eV per atom


No. 8
## TbGaAg2 (GGA-PBE)

Data for TbGaAg2 after structural relaxation.

Cell: 8.716 8.716 9.466 Å, 90.00 90.00 151.93°
Element x y z (fractional)
Tb1 0.000 0.000 0.000
Tb2 0.000 0.000 0.500
Tb3 0.190 0.810 0.750
Tb4 0.810 0.190 0.250
Ga1 0.363 0.637 0.026
Ga2 0.363 0.637 0.474
Ga3 0.637 0.363 0.526
Ga4 0.637 0.363 0.974
Ag1 0.202 0.798 0.094
Ag2 0.202 0.798 0.406
Ag3 0.387 0.613 0.750
Ag4 0.453 0.547 0.250
Ag5 0.547 0.453 0.750
Ag6 0.613 0.387 0.250
Ag7 0.798 0.202 0.594
Ag8 0.798 0.202 0.906

Summary:
* DFT total energy: -3.654 eV/atom
* formation energy from the elements: -0.31 eV per atom


No. 9
## TbGa5Ag (GGA-PBE)

Data for TbGa5Ag after structural relaxation.

Cell: 4.472 4.472 6.997 Å, 90.00 90.00 90.00°
Element x y z (fractional)
Tb1 0.000 0.000 0.000
Ga1 0.000 0.500 0.287
Ga2 0.000 0.500 0.713
Ga3 0.500 0.000 0.287
Ga4 0.500 0.000 0.713
Ga5 0.500 0.500 0.000
Ag1 0.000 0.000 0.500

Summary:
* DFT total energy: -3.499 eV/atom
* formation energy from the elements: -0.27 eV per atom


No. 10
## Tb3Ga4Ag2 (GGA-PBE)

Data for Tb3Ga4Ag2 after structural relaxation.

Cell: 5.820 5.820 8.580 Å, 111.97 111.97 46.16°
Element x y z (fractional)
Tb1 0.000 0.000 0.000
Tb2 0.330 0.330 0.340
Tb3 0.670 0.670 0.660
Ga1 0.034 0.034 0.370
Ga2 0.258 0.258 0.924
Ga3 0.742 0.742 0.076
Ga4 0.966 0.966 0.630
Ag1 0.395 0.395 0.728
Ag2 0.605 0.605 0.272

Summary:
* DFT total energy: -4.076 eV/atom
* formation energy from the elements: -0.55 eV per atom


No. 11
## TbGa6Ag12 (GGA-PBE)

Data for TbGa6Ag12 after structural relaxation.

Cell: 7.522 7.522 7.522 Å, 105.44 105.44 105.44°
Element x y z (fractional)
Tb1 0.000 0.000 0.000
Ga1 0.276 0.276 0.704
Ga2 0.276 0.704 0.276
Ga3 0.296 0.724 0.724
Ga4 0.704 0.276 0.276
Ga5 0.724 0.296 0.724
Ga6 0.724 0.724 0.296
Ag1 0.117 0.500 0.883
Ag2 0.117 0.883 0.500
Ag3 0.141 0.384 0.384
Ag4 0.384 0.141 0.384
Ag5 0.384 0.384 0.141
Ag6 0.500 0.117 0.883
Ag7 0.500 0.883 0.117
Ag8 0.616 0.616 0.859
Ag9 0.616 0.859 0.616
Ag10 0.859 0.616 0.616
Ag11 0.883 0.117 0.500
Ag12 0.883 0.500 0.117

Summary:
* DFT total energy: -2.977 eV/atom
* formation energy from the elements: 0.02 eV per atom


No. 12
## TbGaAg2 (GGA-PBE)

Data for TbGaAg2 after structural relaxation.

Cell: 4.847 4.847 4.847 Å, 60.00 60.00 60.00°
Element x y z (fractional)
Tb1 0.000 0.000 0.000
Ga1 0.500 0.500 0.500
Ag1 0.250 0.250 0.250
Ag2 0.750 0.750 0.750

Summary:
* DFT total energy: -3.650 eV/atom
* formation energy from the elements: -0.31 eV per atom


No. 13
## TbGaAg2 (GGA-PBE)

Data for TbGaAg2 after structural relaxation.

Cell: 3.683 3.683 6.276 Å, 90.00 90.00 90.00°
Element x y z (fractional)
Tb1 0.000 0.000 0.000
Ga1 0.000 0.000 0.500
Ag1 0.500 0.500 0.264
Ag2 0.500 0.500 0.736

Summary:
* DFT total energy: -3.515 eV/atom
* formation energy from the elements: -0.18 eV per atom


No. 14
## TbGa2Ag6 (GGA-PBE)

Data for TbGa2Ag6 after structural relaxation.

Cell: 8.027 8.027 3.238 Å, 101.48 101.48 62.82°
Element x y z (fractional)
Tb1 0.000 0.000 0.000
Ga1 0.354 0.354 0.865
Ga2 0.646 0.646 0.135
Ag1 0.011 0.345 0.680
Ag2 0.333 0.667 0.500
Ag3 0.345 0.011 0.680
Ag4 0.655 0.989 0.320
Ag5 0.667 0.333 0.500
Ag6 0.989 0.655 0.320

Summary:
* DFT total energy: -3.097 eV/atom
* formation energy from the elements: -0.01 eV per atom


No. 15
## Tb6GaAg5 (GGA-PBE)

Data for Tb6GaAg5 after structural relaxation.

Cell: 8.134 8.134 7.303 Å, 90.00 90.00 143.12°
Element x y z (fractional)
Tb1 0.000 0.000 0.249
Tb2 0.000 0.000 0.751
Tb3 0.335 0.665 0.249
Tb4 0.335 0.665 0.751
Tb5 0.665 0.335 0.249
Tb6 0.665 0.335 0.751
Ga1 0.500 0.500 0.000
Ag1 0.165 0.835 0.000
Ag2 0.168 0.832 0.500
Ag3 0.500 0.500 0.500
Ag4 0.832 0.168 0.500
Ag5 0.835 0.165 0.000

Summary:
* DFT total energy: -4.117 eV/atom
* formation energy from the elements: -0.36 eV per atom


No. 16
## TbGa4Ag (GGA-PBE)

Data for TbGa4Ag after structural relaxation.

Cell: 3.495 3.585 9.460 Å, 90.05 90.04 95.69°
Element x y z (fractional)
Tb1 0.000 0.000 0.000
Ga1 0.002 0.999 0.656
Ga2 0.500 0.499 0.798
Ga3 0.500 0.501 0.202
Ga4 0.998 0.001 0.344
Ag1 0.500 0.500 0.500

Summary:
* DFT total energy: -3.480 eV/atom
* formation energy from the elements: -0.22 eV per atom


No. 17
## Tb7Ga2Ag2 (GGA-PBE)

Data for Tb7Ga2Ag2 after structural relaxation.

Cell: 6.642 6.642 7.503 Å, 90.00 90.00 109.49°
Element x y z (fractional)
Tb1 0.000 0.000 0.000
Tb2 0.000 0.500 0.286
Tb3 0.000 0.500 0.714
Tb4 0.500 0.000 0.286
Tb5 0.500 0.000 0.714
Tb6 0.500 0.500 0.270
Tb7 0.500 0.500 0.730
Ga1 0.167 0.167 0.500
Ga2 0.833 0.833 0.500
Ag1 0.292 0.708 0.000
Ag2 0.708 0.292 0.000

Summary:
* DFT total energy: -4.059 eV/atom
* formation energy from the elements: -0.04 eV per atom


No. 18
## TbGa3Ag2 (GGA-PBE)

Data for TbGa3Ag2 after structural relaxation.

Cell: 8.434 8.434 6.730 Å, 106.04 106.04 30.76°
Element x y z (fractional)
Tb1 0.112 0.112 0.182
Tb2 0.888 0.888 0.818
Ga1 0.069 0.069 0.664
Ga2 0.296 0.296 0.070
Ga3 0.372 0.372 0.494
Ga4 0.628 0.628 0.506
Ga5 0.704 0.704 0.930
Ga6 0.931 0.931 0.336
Ag1 0.238 0.238 0.651
Ag2 0.471 0.471 0.172
Ag3 0.529 0.529 0.828
Ag4 0.762 0.762 0.349

Summary:
* DFT total energy: -3.515 eV/atom
* formation energy from the elements: -0.28 eV per atom


No. 19
## TbGaAg3 (GGA-PBE)

Data for TbGaAg3 after structural relaxation.

Cell: 4.804 6.569 6.398 Å, 90.00 90.00 90.00°
Element x y z (fractional)
Tb1 0.250 0.250 0.247
Tb2 0.750 0.750 0.753
Ga1 0.250 0.750 0.445
Ga2 0.750 0.250 0.555
Ag1 0.250 0.044 0.732
Ag2 0.250 0.456 0.732
Ag3 0.250 0.750 0.053
Ag4 0.750 0.250 0.947
Ag5 0.750 0.544 0.268
Ag6 0.750 0.956 0.268

Summary:
* DFT total energy: -3.477 eV/atom
* formation energy from the elements: -0.23 eV per atom


No. 20
## Tb2Ga3Ag5 (GGA-PBE)

Data for Tb2Ga3Ag5 after structural relaxation.

Cell: 12.566 12.566 7.040 Å, 90.00 90.00 158.96°
Element x y z (fractional)
Tb1 0.015 0.985 0.500
Tb2 0.328 0.672 0.464
Tb3 0.672 0.328 0.964
Tb4 0.985 0.015 0.000
Ga1 0.104 0.896 0.806
Ga2 0.271 0.729 0.892
Ga3 0.447 0.553 0.696
Ga4 0.553 0.447 0.196
Ga5 0.729 0.271 0.392
Ga6 0.896 0.104 0.306
Ag1 0.109 0.891 0.203
Ag2 0.196 0.804 0.607
Ag3 0.223 0.777 0.211
Ag4 0.376 0.624 0.986
Ag5 0.449 0.551 0.298
Ag6 0.551 0.449 0.798
Ag7 0.624 0.376 0.486
Ag8 0.777 0.223 0.711
Ag9 0.804 0.196 0.107
Ag10 0.891 0.109 0.703

Summary:
* DFT total energy: -3.556 eV/atom
* formation energy from the elements: -0.30 eV per atom


No. 21
## Tb3Ga12Ag (GGA-PBE)

Data for Tb3Ga12Ag after structural relaxation.

Cell: 4.285 4.285 16.856 Å, 90.00 90.00 90.00°
Element x y z (fractional)
Tb1 0.000 0.000 0.000
Tb2 0.000 0.000 0.257
Tb3 0.000 0.000 0.743
Ga1 0.000 0.500 0.128
Ga2 0.000 0.500 0.386
Ga3 0.000 0.500 0.614
Ga4 0.000 0.500 0.872
Ga5 0.500 0.000 0.128
Ga6 0.500 0.000 0.386
Ga7 0.500 0.000 0.614
Ga8 0.500 0.000 0.872
Ga9 0.500 0.500 0.000
Ga10 0.500 0.500 0.246
Ga11 0.500 0.500 0.500
Ga12 0.500 0.500 0.754
Ag1 0.000 0.000 0.500

Summary:
* DFT total energy: -3.700 eV/atom
* formation energy from the elements: -0.38 eV per atom


No. 22
## TbGaAg4 (GGA-PBE)

Data for TbGaAg4 after structural relaxation.

Cell: 5.549 5.549 5.549 Å, 60.00 60.00 60.00°
Element x y z (fractional)
Tb1 0.000 0.000 0.000
Ga1 0.750 0.750 0.750
Ag1 0.375 0.375 0.375
Ag2 0.375 0.375 0.875
Ag3 0.375 0.875 0.375
Ag4 0.875 0.375 0.375

Summary:
* DFT total energy: -3.335 eV/atom
* formation energy from the elements: -0.16 eV per atom


| no. | density (Mg/m³) |
| --- | --- |
| 1 | 8.8 |
| 2 | 8.5 |
| 3 | 8.8 |
| 4 | 8.9 |
| 5 | 8.3 |
| 6 | 8.5 |
| 7 | 7.7 |
| 8 | 8.7 |
| 9 | 7.3 |
| 10 | 8.4 |
| 11 | 8.4 |
| 12 | 9.2 |
| 13 | 8.7 |
| 14 | 8.7 |
| 15 | 8.9 |
| 16 | 7.7 |
| 17 | 7.8 |
| 18 | 8.3 |
| 19 | 9.1 |
| 20 | 8.9 |
| 21 | 7.6 |
| 22 | 9.1 |